The following is a DFT calculation (PBE) of InTe2MoAuS after structural relaxation.

Values from the calculation:
* VASP energy: -4.503 eV/atom

Structure (CIF):
```
data_InTe2MoAuS
_space_group_name_H-M_alt 'C m c m'
_space_group_IT_number 63
_space_group_name_Hall '-C 2c 2'
_cell_length_a 4.006
_cell_length_b 14.653
_cell_length_c 9.984
_cell_angle_alpha 90.00
_cell_angle_beta 90.00
_cell_angle_gamma 90.00
loop_
_atom_site_label
_atom_site_fract_x
_atom_site_fract_y
_atom_site_fract_z
In1 0.000 0.239 0.250
Te1 0.000 0.138 0.536
Mo1 0.000 0.500 0.000
Au1 0.000 0.026 0.750
S1 0.000 0.427 0.750
```